Compound: SmY3N
Source: Alexandria via LeMat-Bulk
Functional: PBE
Structure: optimized geometry Values from VASP.

Values from the calculation:
DOS at the Fermi energy	6.627	states/eV/f.u.
crystal system	cubic
volume	25.0	Å³ per atom
uncorrected formation energy	-2.445	eV per formula unit

Cell and atoms, written as Quantum ESPRESSO input:
```
&SYSTEM
  ibrav = 0, nat = 5, ntyp = 3
/
ATOMIC_SPECIES
Y 88.91 Y.upf
Sm 150.36 Sm.upf
N 14.01 N.upf
CELL_PARAMETERS angstrom
4.9977 0.0000 0.0000
0.0000 4.9977 0.0000
0.0000 0.0000 4.9977
ATOMIC_POSITIONS crystal
Y 0.0000 0.5000 0.0000
Y 0.0000 0.0000 0.5000
Y 0.5000 0.0000 0.0000
Sm 0.5000 0.5000 0.5000
N 0.0000 0.0000 0.0000
```